(1)
VASP calculation (PBE) on a relaxed CuO2 crystal.

Calculated values
formation energy (no corrections) = 0.072 eV/atom

Lattice parameters (Å, degrees): 5.9523 3.7909 4.9932 84.13 39.31 56.56
With the nearest neighbours (Å) after each atom.
Fractional coordinates of all 3 atoms:
1 Cu 0.5000 0.5000 0.5000  4 O 1.81
2 O 0.8788 0.1212 0.8788  2 Cu 1.81
3 O 0.1212 0.8788 0.1212  2 Cu 1.81

=====

(2)
VASP calculation (PBE) on a relaxed CuO2 crystal.

Calculated values
formation energy (no corrections) = -0.055 eV/atom

Lattice parameters (Å, degrees): 2.9486 2.9486 4.7666 71.99 71.99 59.98
With the nearest neighbours (Å) after each atom.
Fractional coordinates of all 3 atoms:
1 O 0.2634 0.2634 0.2095  3 Cu 1.94
2 O 0.7366 0.7366 0.7905  3 Cu 1.94
3 Cu 0.0000 0.0000 0.0000  6 O 1.94

=====

(3)
VASP calculation (PBE) on a relaxed CuO2 crystal.

Calculated values
formation energy (no corrections) = 0.417 eV/atom

Lattice parameters (Å, degrees): 2.3720 2.3785 7.6793 90.00 90.00 90.00
With the nearest neighbours (Å) after each atom.
Fractional coordinates of all 3 atoms:
1 O 0.0000 0.5000 0.4197  1 O 1.23
2 O 0.0000 0.5000 0.5803  1 O 1.23
3 Cu 0.0000 0.5000 0.0000  4 Cu 2.37-2.38

=====

(4)
VASP calculation (PBE) on a relaxed Cu4O3 crystal.

Calculated values
polymorph energy (0 for the lowest one) = 0.000 eV/atom
formation energy (no corrections) = -0.504 eV/atom

Lattice parameters (Å, degrees): 6.4554 6.4554 6.4554 125.51 125.51 80.69
With the nearest neighbours (Å) after each atom.
Fractional coordinates of all 14 atoms:
1 Cu 0.3750 0.6250 0.2500  4 O 1.92-2.01
2 Cu 0.3750 0.6250 0.7500  4 O 1.92-2.01
3 Cu 0.8750 0.1250 0.2500  2 O 1.84
4 Cu 0.3750 0.1250 0.7500  4 O 1.92-2.01
5 Cu 0.3750 0.1250 0.2500  2 O 1.84
6 Cu 0.8750 0.6250 0.7500  2 O 1.84
7 Cu 0.8750 0.1250 0.7500  2 O 1.84
8 Cu 0.8750 0.6250 0.2500  4 O 1.92-2.01
9 O 0.5129 0.0129 0.5000  4 Cu 1.84-2.01
10 O 0.9871 0.4871 0.5000  4 Cu 1.84-2.01
11 O 0.7629 0.7629 0.0000  4 Cu 1.84-2.01
12 O 0.2500 0.7500 0.5000  4 Cu 1.92
13 O 0.2371 0.2371 0.0000  4 Cu 1.84-2.01
14 O 0.5000 0.5000 0.0000  4 Cu 1.92

=====

(5)
VASP calculation (PBE) on a relaxed Cu3O2 crystal.

Calculated values
polymorph energy (0 for the lowest one) = 0.151 eV/atom
formation energy (no corrections) = -0.250 eV/atom

Lattice parameters (Å, degrees): 2.8871 2.8871 7.0699 90.00 90.00 120.00
With the nearest neighbours (Å) after each atom.
Fractional coordinates of all 5 atoms:
1 Cu 0.6667 0.3333 0.6353  3 O 2.14
2 Cu 0.0000 0.0000 0.0000  6 O 2.08
3 Cu 0.3333 0.6667 0.3647  3 O 2.14
4 O 0.3333 0.6667 0.8247  6 Cu 2.08-2.14
5 O 0.6667 0.3333 0.1753  6 Cu 2.08-2.14

=====

(6)
VASP calculation (PBE) on a relaxed Cu9O13 crystal.

Calculated values
formation energy (no corrections) = -0.253 eV/atom

Lattice parameters (Å, degrees): 5.1456 5.1456 16.2860 81.43 81.43 33.25
With the nearest neighbours (Å) after each atom.
Fractional coordinates of all 22 atoms:
1 O 0.6966 0.6966 0.0684  5 Cu 1.94-2.11
2 O 0.6050 0.6050 0.3875  5 Cu 1.96-2.16
3 O 0.0000 0.0000 0.0000  6 Cu 2.12-2.17
4 O 0.3800 0.3800 0.3217  3 Cu 1.85-1.93
5 O 0.8855 0.8855 0.7747  2 Cu 1.84-1.87
6 O 0.1348 0.1348 0.5264  5 Cu 1.96-2.15
7 O 0.4274 0.4274 0.1394  3 Cu 1.85-1.94
8 O 0.5726 0.5726 0.8606  3 Cu 1.85-1.94
9 O 0.6200 0.6200 0.6783  3 Cu 1.85-1.93
10 O 0.1145 0.1145 0.2253  2 Cu 1.84-1.87
11 O 0.3950 0.3950 0.6125  5 Cu 1.96-2.16
12 O 0.3034 0.3034 0.9316  5 Cu 1.94-2.11
13 O 0.8652 0.8652 0.4736  5 Cu 1.96-2.15
14 Cu 0.9963 0.9963 0.6703  5 O 1.87-2.08
15 Cu 0.0574 0.0574 0.1231  3 O 1.84-1.94
16 Cu 0.2502 0.2502 0.4166  2 O 1.85-1.96
17 Cu 0.3511 0.3511 0.0427  2 O 1.85-1.94
18 Cu 0.6489 0.6489 0.9573  2 O 1.85-1.94
19 Cu 0.0037 0.0037 0.3297  5 O 1.87-2.08
20 Cu 0.7498 0.7498 0.5834  2 O 1.85-1.96
21 Cu 0.5000 0.5000 0.5000  6 O 1.96-2.07
22 Cu 0.9426 0.9426 0.8769  3 O 1.84-1.94

=====

(7)
VASP calculation (PBE) on a relaxed CuO2 crystal.

Calculated values
formation energy (no corrections) = -0.035 eV/atom

Lattice parameters (Å, degrees): 5.2591 5.2591 4.3814 90.00 90.00 149.00
With the nearest neighbours (Å) after each atom.
Fractional coordinates of all 6 atoms:
1 Cu 0.1583 0.8417 0.2500  4 O 1.86-1.88
2 Cu 0.8417 0.1583 0.7500  4 O 1.86-1.88
3 O 0.5384 0.4616 0.2500  2 Cu 1.86
4 O 0.2189 0.7811 0.7500  2 Cu 1.88
5 O 0.4616 0.5384 0.7500  2 Cu 1.86
6 O 0.7811 0.2189 0.2500  2 Cu 1.88

=====

(8)
VASP calculation (PBE) on a relaxed CuO8 crystal.

Calculated values
formation energy (no corrections) = 0.836 eV/atom

Lattice parameters (Å, degrees): 4.9106 5.8543 5.8543 79.87 65.20 65.20
With the nearest neighbours (Å) after each atom.
Fractional coordinates of all 9 atoms:
1 O 0.3929 0.0000 0.2142  2 O 1.61
2 O 0.6071 0.7858 0.0000  2 O 1.61
3 O 0.4176 0.5824 0.5824  1 O 1.24
4 O 0.0000 0.5824 0.4176  1 O 1.24
5 O 0.0000 0.4176 0.5824  1 O 1.24
6 O 0.6071 0.0000 0.7858  2 O 1.61
7 O 0.5824 0.4176 0.4176  1 O 1.24
8 O 0.3929 0.2142 0.0000  2 O 1.61
9 Cu 0.0000 0.0000 0.0000  8 O 2.71

=====

Result set for E_tot: -4.598; -4.726; -4.254; -4.970; -4.691; -4.858; -4.706; -4.026 eV per atom, one per record in the order listed.
Result set for V: 47; 34; 43; 172; 51; 234; 62; 139 Å³/cell, one per record in the order listed.